Entry 1:
TaSi2Os PBE optimized geometry; formation energy without anion corrections = -231 meV/atom; energy = -8.713 eV per atom; density of states at the Fermi level = 0.58 states/eV/atom; density = 12.01 Mg/m³
1.0
2.9746 0.0000 0.0000
0.0000 4.4035 0.0000
0.0000 0.0000 4.5108
Ta Si Os
1 2 1
direct
0.0000 0.0000 0.0000
0.0000 0.5000 0.3518
0.5000 0.0000 0.4803
0.5000 0.5000 0.7847

***

Entry 2:
Tb2PrMg4 PBE optimized geometry; energy = -2.570 eV per atom; formation energy from the elements = 0.35 eV/atom; density of states at the Fermi level = 0.86 states/eV/atom; density = 4.26 Mg/m³
1.0
3.0071 -6.4688 0.0000
3.0071 6.4688 0.0000
0.0000 0.0000 5.5731
Tb Pr Mg
2 1 4
direct
0.1341 0.8659 0.0000
0.8659 0.1341 0.0000
0.5000 0.5000 0.5000
0.2493 0.7507 0.5000
0.3801 0.6199 0.0000
0.6199 0.3801 0.0000
0.7507 0.2493 0.5000

***

Entry 3:
Cd2Ga2Ag7 PBE optimized geometry; energy = -2.485 eV per atom; formation energy from the elements = 0.05 eV/atom; density of states at the Fermi level = 0.32 states/eV/atom; density = 8.95 Mg/m³
1.0
2.9089 -4.2983 0.0000
2.9089 4.2983 0.0000
-0.9950 0.0000 8.3084
Cd Ga Ag
2 2 7
direct
0.2447 0.7553 0.0000
0.7553 0.2447 0.0000
0.2975 0.2975 0.1761
0.7025 0.7025 0.8239
0.1008 0.6823 0.6452
0.2320 0.2320 0.8069
0.3177 0.8992 0.3548
0.5000 0.5000 0.5000
0.6823 0.1008 0.6452
0.7680 0.7680 0.1931
0.8992 0.3177 0.3548

***

Entry 4:
SiTcAs PBE optimized geometry; formation energy without anion corrections = 25 meV/atom; energy = -6.788 eV per atom; density of states at the Fermi level = 0.52 states/eV/atom; density = 6.83 Mg/m³
1.0
-1.5252 1.5252 5.2558
1.5252 -1.5252 5.2558
1.5252 1.5252 -5.2558
Si Tc As
1 1 1
direct
0.0000 0.0000 0.0000
0.3740 0.3740 0.0000
0.7280 0.7280 0.0000

***

Entry 5:
MoPPt2Se PBE optimized geometry; formation energy without anion corrections = 1205 meV/atom; energy = -5.156 eV per atom; density of states at the Fermi level = 0.56 states/eV/atom; density = 9.53 Mg/m³
1.0
4.6460 0.0000 0.0000
0.0000 4.6460 0.0000
0.0000 0.0000 4.8107
Mo P Pt Se
1 1 2 1
direct
0.0000 0.0000 0.0000
0.5000 0.5000 0.0000
0.0000 0.5000 0.5000
0.5000 0.0000 0.5000
0.5000 0.5000 0.5000

***

Entry 6:
PmNiGePt PBE optimized geometry; energy = -5.765 eV per atom; formation energy from the elements = -0.47 eV/atom; density of states at the Fermi level = 0.75 states/eV/atom; density = 10.75 Mg/m³
1.0
0.0000 3.3149 3.3149
3.3149 0.0000 3.3149
3.3149 3.3149 0.0000
Pm Ni Ge Pt
1 1 1 1
direct
0.0000 0.0000 0.0000
0.2500 0.2500 0.2500
0.5000 0.5000 0.5000
0.7500 0.7500 0.7500

***

Entry 7:
ZrRh2W PBE optimized geometry; energy = -9.352 eV per atom; formation energy from the elements = -0.30 eV/atom; density of states at the Fermi level = 0.88 states/eV/atom; density = 12.27 Mg/m³
1.0
0.0000 2.9032 3.8740
2.8936 0.0000 3.8740
2.8936 2.9032 0.0000
Zr Rh W
1 2 1
direct
0.0000 0.0000 0.0000
0.2500 0.2500 0.2500
0.7500 0.7500 0.7500
0.5000 0.5000 0.5000

***

Entry 8:
Sc2Si4W3 PBE optimized geometry; formation energy without anion corrections = -596 meV/atom; energy = -8.731 eV per atom; density of states at the Fermi level = 0.38 states/eV/atom; density = 8.87 Mg/m³
1.0
6.5613 0.0000 0.0000
0.0000 12.6749 0.0000
0.0000 0.0000 6.7878
Sc Si W
8 16 12
direct
0.0048 0.0916 0.1700
0.0048 0.4084 0.1700
0.4952 0.5916 0.6700
0.4952 0.9084 0.6700
0.5048 0.0916 0.3300
0.5048 0.4084 0.3300
0.9952 0.5916 0.8300
0.9952 0.9084 0.8300
0.0323 0.2500 0.8806
0.1670 0.0441 0.5381
0.1670 0.4559 0.5381
0.2011 0.7500 0.6436
0.2989 0.2500 0.1436
0.3330 0.5441 0.0381
0.3330 0.9559 0.0381
0.4677 0.7500 0.3806
0.5323 0.2500 0.6194
0.6670 0.0441 0.9619
0.6670 0.4559 0.9619
0.7011 0.7500 0.8564
0.7989 0.2500 0.3564
0.8330 0.5441 0.4619
0.8330 0.9559 0.4619
0.9677 0.7500 0.1194
0.1632 0.2500 0.4971
0.1702 0.6240 0.3363
0.1702 0.8760 0.3363
0.3298 0.1240 0.8363
0.3298 0.3760 0.8363
0.3368 0.7500 0.9971
0.6632 0.2500 0.0029
0.6702 0.6240 0.1637
0.6702 0.8760 0.1637
0.8298 0.1240 0.6637
0.8298 0.3760 0.6637
0.8368 0.7500 0.5029

***

Entry 9:
TlPtBr PBE optimized geometry; formation energy without anion corrections = 20 meV/atom; energy = -3.340 eV per atom; density of states at the Fermi level = 0.08 states/eV/atom; density = 9.83 Mg/m³
1.0
4.1696 0.0000 0.0000
-2.0848 3.6110 0.0000
0.0000 0.0000 5.3768
Tl Pt Br
1 1 1
direct
0.0000 0.0000 0.0000
0.3333 0.6667 0.7745
0.6667 0.3333 0.5006

***

Entry 10:
Ca2BeFeSi PBE optimized geometry; formation energy without anion corrections = 529 meV/atom; energy = -3.794 eV per atom; density of states at the Fermi level = 0.67 states/eV/atom; density = 2.17 Mg/m³
1.0
5.5371 0.0000 0.0000
0.0000 5.5371 0.0000
0.0000 0.0000 4.3156
Ca Be Fe Si
2 1 1 1
direct
0.0000 0.5000 0.0000
0.5000 0.0000 0.0000
0.0000 0.0000 0.5000
0.5000 0.5000 0.5000
0.5000 0.5000 0.0000

***

Entry 11:
YTaTcHg2 PBE optimized geometry; energy = -3.806 eV per atom; formation energy from the elements = 2.05 eV/atom; density of states at the Fermi level = 1.14 states/eV/atom; density = 8.31 Mg/m³
1.0
5.4704 0.0000 0.0000
0.0000 5.4704 0.0000
0.0000 0.0000 5.1332
Y Ta Tc Hg
1 1 1 2
direct
0.0000 0.0000 0.0000
0.0000 0.0000 0.5000
0.5000 0.5000 0.5000
0.0000 0.5000 0.0000
0.5000 0.0000 0.0000

***

Entry 12:
Ba2ScTa PBE optimized geometry; energy = -4.259 eV per atom; formation energy from the elements = 1.25 eV/atom; density of states at the Fermi level = 1.18 states/eV/atom; density = 5.87 Mg/m³
1.0
-4.6961 4.6961 3.2119
4.6961 -4.6961 3.2119
4.6961 4.6961 -3.2119
Ba Sc Ta
4 2 2
direct
0.0954 0.1250 0.4704
0.3750 0.9046 0.0296
0.6546 0.6250 0.5296
0.8750 0.3454 0.9704
0.2500 0.7500 0.5000
0.5000 0.5000 0.0000
0.0000 0.0000 0.0000
0.7500 0.2500 0.5000

***

Entry 13:
Ir4W5 PBE optimized geometry; energy = -11.186 eV per atom; formation energy from the elements = -0.05 eV/atom; density of states at the Fermi level = 0.79 states/eV/atom; density = 19.97 Mg/m³
1.0
7.6787 0.0000 0.0000
-3.8393 6.6499 0.0000
0.0000 0.0000 5.4971
Ir W
8 10
direct
0.0000 0.0000 0.0000
0.0000 0.0000 0.5000
0.0000 0.3282 0.2500
0.0000 0.6718 0.7500
0.3282 0.0000 0.2500
0.3282 0.3282 0.7500
0.6718 0.0000 0.7500
0.6718 0.6718 0.2500
0.0000 0.3396 0.7500
0.0000 0.6604 0.2500
0.3333 0.6667 0.0000
0.3333 0.6667 0.5000
0.3396 0.0000 0.7500
0.3396 0.3396 0.2500
0.6604 0.0000 0.2500
0.6604 0.6604 0.7500
0.6667 0.3333 0.0000
0.6667 0.3333 0.5000

***

Entry 14:
Si5Br3 PBE optimized geometry; formation energy without anion corrections = 677 meV/atom; energy = -3.340 eV per atom; density of states at the Fermi level = 0.85 states/eV/atom; density = 3.20 Mg/m³
1.0
9.8345 0.0000 0.0000
-4.9173 8.5169 0.0000
0.0000 0.0000 4.7155
Si Br
10 6
direct
0.0000 0.1448 0.2500
0.0000 0.8552 0.7500
0.1448 0.0000 0.2500
0.1448 0.1448 0.7500
0.3333 0.6667 0.0000
0.3333 0.6667 0.5000
0.6667 0.3333 0.0000
0.6667 0.3333 0.5000
0.8552 0.0000 0.7500
0.8552 0.8552 0.2500
0.0000 0.3825 0.7500
0.0000 0.6175 0.2500
0.3825 0.0000 0.7500
0.3825 0.3825 0.2500
0.6175 0.0000 0.2500
0.6175 0.6175 0.7500

***

Entry 15:
LiMn4Ir PBE optimized geometry; energy = -7.766 eV per atom; formation energy from the elements = 0.14 eV/atom; density of states at the Fermi level = 0.97 states/eV/atom; density = 9.82 Mg/m³
1.0
0.0000 3.2840 3.2840
3.2840 0.0000 3.2840
3.2840 3.2840 0.0000
Li Mn Ir
1 4 1
direct
0.0000 0.0000 0.0000
0.1191 0.6270 0.6270
0.6270 0.1191 0.6270
0.6270 0.6270 0.1191
0.6270 0.6270 0.6270
0.2500 0.2500 0.2500

***

Entry 16:
LiIrBr6 PBE optimized geometry; formation energy without anion corrections = -419 meV/atom; energy = -3.020 eV per atom; density of states at the Fermi level = 1.00 states/eV/atom; density = 5.33 Mg/m³
1.0
3.2707 1.8883 5.7084
-3.2707 1.8883 5.7084
0.0000 -3.7766 5.7084
Li Ir Br
1 1 6
direct
0.0000 0.0000 0.0000
0.5000 0.5000 0.5000
0.0946 0.4379 0.7231
0.2769 0.9054 0.5621
0.4379 0.7231 0.0946
0.5621 0.2769 0.9054
0.7231 0.0946 0.4379
0.9054 0.5621 0.2769

***

Entry 17:
Dy2Er3PuTe6 PBE optimized geometry; formation energy without anion corrections = -1233 meV/atom; energy = -5.906 eV per atom; density of states at the Fermi level = 0.95 states/eV/atom; density = 8.75 Mg/m³
1.0
9.4881 -2.1633 0.0000
9.4881 2.1633 0.0000
-2.0387 0.0000 8.4897
Dy Er Pu Te
2 3 1 6
direct
0.1636 0.1636 0.3288
0.8364 0.8364 0.6712
0.1651 0.1651 0.8347
0.5000 0.5000 0.5000
0.8349 0.8349 0.1653
0.5000 0.5000 0.0000
0.0012 0.0012 0.7451
0.3306 0.3306 0.9173
0.3325 0.3325 0.4149
0.6675 0.6675 0.5851
0.6694 0.6694 0.0827
0.9988 0.9988 0.2549

***

Entry 18:
CoHCS PBE optimized geometry; energy = -5.414 eV per atom; density of states at the Fermi level = 0.34 states/eV/atom; density = 4.15 Mg/m³
1.0
4.6965 0.0000 0.0000
0.0000 1.5780 2.8097
0.0000 -1.5780 2.8097
Co H C S
1 1 1 1
direct
0.0000 0.0000 0.0000
0.5000 0.7289 0.7289
0.0000 0.3308 0.3308
0.5000 0.9728 0.9728

***

Entry 19:
Hf3Zr2Bi2 PBE optimized geometry; energy = -7.966 eV per atom; formation energy from the elements = -0.15 eV/atom; density of states at the Fermi level = 0.95 states/eV/atom; density = 11.32 Mg/m³
1.0
5.4779 -2.0119 0.0000
5.4779 2.0119 0.0000
-1.7780 0.0000 7.5611
Hf Zr Bi
3 2 2
direct
0.0000 0.0000 0.0000
0.1257 0.1257 0.4484
0.8743 0.8743 0.5516
0.4087 0.4087 0.2632
0.5913 0.5913 0.7368
0.3114 0.3114 0.8229
0.6886 0.6886 0.1771

***

Entry 20:
Mg2CoP2 PBE optimized geometry; energy = -4.605 eV per atom; formation energy from the elements = -0.38 eV/atom; density of states at the Fermi level = 0.49 states/eV/atom; density = 3.74 Mg/m³
1.0
5.7775 0.0000 0.0000
0.0000 5.7775 0.0000
0.0000 0.0000 4.5054
Mg Co P
4 2 4
direct
0.1830 0.3170 0.0000
0.3170 0.8170 0.0000
0.6830 0.1830 0.0000
0.8170 0.6830 0.0000
0.0000 0.0000 0.5000
0.5000 0.5000 0.5000
0.1367 0.6367 0.5000
0.3633 0.1367 0.5000
0.6367 0.8633 0.5000
0.8633 0.3633 0.5000

***

Entry 21:
Ce2PuSbC PBE optimized geometry; formation energy without anion corrections = -506 meV/atom; energy = -8.415 eV per atom; density of states at the Fermi level = 1.74 states/eV/atom; density = 9.27 Mg/m³
1.0
4.9612 0.0000 0.0000
0.0000 4.9612 0.0000
0.0000 0.0000 4.7896
Ce Pu Sb C
2 1 1 1
direct
0.0000 0.5000 0.0000
0.5000 0.0000 0.0000
0.0000 0.0000 0.5000
0.5000 0.5000 0.5000
0.0000 0.0000 0.0000

***

Entry 22:
DySiTc PBE optimized geometry; formation energy without anion corrections = -593 meV/atom; energy = -7.390 eV per atom; density of states at the Fermi level = 0.93 states/eV/atom; density = 8.70 Mg/m³
1.0
7.1096 0.0000 0.0000
0.0000 4.3538 0.0000
0.0000 0.0000 7.1157
Dy Si Tc
4 4 4
direct
0.0124 0.2500 0.1863
0.4876 0.7500 0.6863
0.5124 0.2500 0.3137
0.9876 0.7500 0.8137
0.1946 0.2500 0.6065
0.3054 0.7500 0.1065
0.6946 0.2500 0.8935
0.8054 0.7500 0.3935
0.1546 0.7500 0.4363
0.3454 0.2500 0.9363
0.6546 0.7500 0.0637
0.8454 0.2500 0.5637

***

Entry 23:
ZnRu2C PBE optimized geometry; energy = -6.918 eV per atom; formation energy from the elements = 0.34 eV/atom; density of states at the Fermi level = 0.86 states/eV/atom; density = 9.06 Mg/m³
1.0
-3.2389 3.2389 2.4418
3.2389 -3.2389 2.4418
3.2389 3.2389 -2.4418
Zn Ru C
2 4 2
direct
0.0000 0.0000 0.0000
0.7500 0.2500 0.5000
0.2222 0.1250 0.5972
0.3750 0.7778 0.9028
0.5278 0.6250 0.4028
0.8750 0.4722 0.0972
0.2500 0.7500 0.5000
0.5000 0.5000 0.0000

***

Entry 24:
CeNdN PBE optimized geometry; formation energy without anion corrections = -861 meV/atom; energy = -7.203 eV per atom; density of states at the Fermi level = 1.73 states/eV/atom; density = 7.00 Mg/m³
1.0
3.5778 0.0000 0.0000
-1.7889 3.0985 0.0000
0.0000 0.0000 6.3838
Ce Nd N
1 1 1
direct
0.0000 0.0000 0.0000
0.3333 0.6667 0.5629
0.6667 0.3333 0.8028